{"formula": "NaSe2I", "functional": "PBE", "state": "optimized geometry", "spacegroup": "No. 122", "cell": [[6.089, 0.000, 0.000], [0.000, 6.089, 0.000], [3.044, 3.044, 8.011]], "species": ["I", "I", "Na", "Na", "Se", "Se", "Se", "Se"], "fractional_positions": [[0.000, 0.000, 0.000], [0.750, 0.250, 0.500], [0.500, 0.500, 0.000], [0.250, 0.750, 0.500], [0.671, 0.125, 0.250], [0.079, 0.625, 0.250], [0.375, 0.329, 0.750], [0.875, 0.921, 0.750]]}

{"formula": "Na3SeI", "functional": "PBE", "state": "optimized geometry", "spacegroup": "No. 15", "cell": [[8.079, -0.254, -0.190], [0.266, 8.978, 0.094], [0.266, 2.626, 8.586]], "species": ["Na", "Na", "Na", "Na", "Na", "Na", "Na", "Na", "Na", "Na", "Na", "Na", "Se", "Se", "Se", "Se", "I", "I", "I", "I"], "fractional_positions": [[0.587, 0.820, 0.946], [0.913, 0.054, 0.180], [0.413, 0.180, 0.054], [0.087, 0.946, 0.820], [0.823, 0.427, 0.066], [0.677, 0.934, 0.573], [0.177, 0.573, 0.934], [0.323, 0.066, 0.427], [0.586, 0.558, 0.677], [0.914, 0.323, 0.442], [0.414, 0.442, 0.323], [0.086, 0.677, 0.558], [0.857, 0.697, 0.804], [0.643, 0.196, 0.303], [0.143, 0.303, 0.196], [0.357, 0.804, 0.697], [0.250, 0.831, 0.169], [0.750, 0.169, 0.831], [0.250, 0.331, 0.669], [0.750, 0.669, 0.331]]}

{"formula": "Na3SeI", "functional": "PBE", "state": "optimized geometry", "spacegroup": "No. 221", "cell": [[5.515, 0.000, 0.000], [0.000, 5.515, 0.000], [0.000, 0.000, 5.515]], "species": ["I", "Na", "Na", "Na", "Se"], "fractional_positions": [[0.500, 0.500, 0.500], [0.000, 0.500, 0.000], [0.000, 0.000, 0.500], [0.500, 0.000, 0.000], [0.000, 0.000, 0.000]]}

E values, unit eV per atom, following the record order: -2.47 -2.87 -2.87.
ΔE to the lowest computed polymorph values, unit meV per atom, following the record order: 59.0 2.0 0.0.
Mass density values, unit Mg/m³, following the record order: 3.442 2.936 2.721.